# 1
First-principles (GGA-PBE) data for an optimized crystal structure of CePuIn2, as listed in Alexandria via LeMat-Bulk.

POSCAR file:
```
CePuIn2
1.0
0.000 3.830 3.830
3.830 0.000 3.830
3.830 3.830 0.000
Ce Pu In
1 1 2
Direct
0.000 0.000 0.000
0.500 0.500 0.500
0.250 0.250 0.250
0.750 0.750 0.750
```

Values from the calculation:
**D(E_F)**: 3.557 states/eV per atom
**ΔH_f (0 K)**: -0.8 eV per formula unit
**Energy**: -26.5 eV per cell
**Excess energy over the best structure of this formula in the dataset**: 2.35 kcal/mol of atoms
**Theoretical density**: 9.072 g/cm3
**Calculated volume**: 112 Å³/cell

# 2
First-principles (GGA-PBE) data for an optimized crystal structure of CePuIn2, as listed in Alexandria via LeMat-Bulk.

POSCAR file:
```
CePuIn2
1.0
-3.337 4.846 3.231
3.337 -4.846 3.231
3.337 4.846 -3.231
Ce Pu In
2 2 4
Direct
0.267 0.017 0.250
0.733 0.983 0.750
0.290 0.540 0.750
0.710 0.460 0.250
0.238 0.000 0.738
0.238 0.500 0.238
0.762 0.000 0.262
0.762 0.500 0.762
```

Values from the calculation:
**D(E_F)**: 2.095 states/eV per atom
**ΔH_f (0 K)**: -1.2 eV per formula unit
**Energy**: -53.8 eV per cell
**Excess energy over the best structure of this formula in the dataset**: 0.00 kcal/mol of atoms
**Theoretical density**: 9.755 g/cm3
**Calculated volume**: 209 Å³/cell

# 3
First-principles (GGA-PBE) data for an optimized crystal structure of CePuIn2, as listed in Alexandria via LeMat-Bulk.

POSCAR file:
```
CePuIn2
1.0
3.228 -4.874 0.000
3.228 4.874 0.000
0.000 0.000 3.360
Ce Pu In
1 1 2
Direct
0.000 0.000 0.000
0.500 0.500 0.000
0.000 0.500 0.500
0.500 0.000 0.500
```

Values from the calculation:
**D(E_F)**: 2.951 states/eV per atom
**ΔH_f (0 K)**: -1.1 eV per formula unit
**Energy**: -26.8 eV per cell
**Excess energy over the best structure of this formula in the dataset**: 0.50 kcal/mol of atoms
**Theoretical density**: 9.639 g/cm3
**Calculated volume**: 106 Å³/cell

# 4
First-principles (GGA-PBE) data for an optimized crystal structure of CePuIn2, as listed in Alexandria via LeMat-Bulk.

POSCAR file:
```
CePuIn2
1.0
4.633 0.000 0.000
0.000 4.633 0.000
0.000 0.000 4.900
Ce Pu In
1 1 2
Direct
0.000 0.000 0.000
0.500 0.500 0.000
0.000 0.500 0.500
0.500 0.000 0.500
```

Values from the calculation:
**D(E_F)**: 2.801 states/eV per atom
**ΔH_f (0 K)**: -1.2 eV per formula unit
**Energy**: -26.9 eV per cell
**Excess energy over the best structure of this formula in the dataset**: 0.08 kcal/mol of atoms
**Theoretical density**: 9.689 g/cm3
**Calculated volume**: 105 Å³/cell

# 5
First-principles (GGA-PBE) data for an optimized crystal structure of Ce4Pu2In3, as listed in Alexandria via LeMat-Bulk.

POSCAR file:
```
Ce4Pu2In3
1.0
6.719 0.000 0.000
-2.876 7.882 0.000
-1.335 -2.308 8.973
Ce Pu In
8 4 6
Direct
0.144 0.329 0.149
0.188 0.500 0.622
0.331 0.190 0.786
0.354 0.846 0.613
0.646 0.154 0.387
0.669 0.810 0.214
0.812 0.500 0.378
0.856 0.671 0.851
0.330 0.593 0.940
0.464 0.584 0.358
0.536 0.416 0.642
0.670 0.407 0.060
0.139 0.111 0.412
0.146 0.754 0.228
0.299 0.000 0.049
0.701 0.000 0.951
0.854 0.246 0.772
0.861 0.889 0.588
```

Values from the calculation:
**D(E_F)**: 1.937 states/eV per atom
**ΔH_f (0 K)**: -1.3 eV per formula unit
**Energy**: -123.8 eV per cell
**Excess energy over the best structure of this formula in the dataset**: 0.94 kcal/mol of atoms
**Theoretical density**: 9.734 g/cm3
**Calculated volume**: 475 Å³/cell

# 6
First-principles (GGA-PBE) data for an optimized crystal structure of Ce4Pu2In3, as listed in Alexandria via LeMat-Bulk.

POSCAR file:
```
Ce4Pu2In3
1.0
5.254 -2.612 0.000
5.254 2.612 0.000
-3.519 0.000 8.721
Ce Pu In
4 2 3
Direct
0.048 0.048 0.349
0.324 0.324 0.017
0.676 0.676 0.983
0.952 0.952 0.651
0.326 0.326 0.715
0.674 0.674 0.285
0.000 0.000 0.000
0.366 0.366 0.375
0.634 0.634 0.625
```

Values from the calculation:
**D(E_F)**: 1.937 states/eV per atom
**ΔH_f (0 K)**: -1.6 eV per formula unit
**Energy**: -62.2 eV per cell
**Excess energy over the best structure of this formula in the dataset**: 0.00 kcal/mol of atoms
**Theoretical density**: 9.664 g/cm3
**Calculated volume**: 239 Å³/cell

# 7
First-principles (GGA-PBE) data for an optimized crystal structure of Ce7PuIn3, as listed in Alexandria via LeMat-Bulk.

POSCAR file:
```
Ce7PuIn3
1.0
5.692 -5.420 0.000
5.692 5.420 0.000
-2.287 0.000 4.890
Ce Pu In
7 1 3
Direct
0.000 0.000 0.000
0.065 0.589 0.354
0.282 0.282 0.788
0.411 0.935 0.646
0.589 0.065 0.354
0.718 0.718 0.212
0.935 0.411 0.646
0.000 0.000 0.500
0.290 0.710 0.000
0.500 0.500 0.500
0.710 0.290 0.000
```

Values from the calculation:
**D(E_F)**: 2.496 states/eV per atom
**ΔH_f (0 K)**: -0.7 eV per formula unit
**Energy**: -64.8 eV per cell
**Theoretical density**: 8.635 g/cm3
**Calculated volume**: 302 Å³/cell

# 8
First-principles (GGA-PBE) data for an optimized crystal structure of Ce6PuIn2, as listed in Alexandria via LeMat-Bulk.

POSCAR file:
```
Ce6PuIn2
1.0
6.124 -3.530 0.000
6.124 3.530 0.000
-0.023 0.000 5.718
Ce Pu In
6 1 2
Direct
0.165 0.669 0.739
0.331 0.331 0.263
0.331 0.835 0.261
0.669 0.165 0.739
0.669 0.669 0.737
0.835 0.331 0.261
0.500 0.500 0.500
0.167 0.167 0.763
0.833 0.833 0.237
```

Values from the calculation:
**D(E_F)**: 2.136 states/eV per atom
**ΔH_f (0 K)**: -3.4 eV per formula unit
**Energy**: -58.8 eV per cell
**Excess energy over the best structure of this formula in the dataset**: 0.00 kcal/mol of atoms
**Theoretical density**: 8.828 g/cm3
**Calculated volume**: 247 Å³/cell

Repeat the eighth record exactly.
First-principles (GGA-PBE) data for an optimized crystal structure of Ce6PuIn2, as listed in Alexandria via LeMat-Bulk.

POSCAR file:
```
Ce6PuIn2
1.0
6.124 -3.530 0.000
6.124 3.530 0.000
-0.023 0.000 5.718
Ce Pu In
6 1 2
Direct
0.165 0.669 0.739
0.331 0.331 0.263
0.331 0.835 0.261
0.669 0.165 0.739
0.669 0.669 0.737
0.835 0.331 0.261
0.500 0.500 0.500
0.167 0.167 0.763
0.833 0.833 0.237
```

Values from the calculation:
**D(E_F)**: 2.136 states/eV per atom
**ΔH_f (0 K)**: -3.4 eV per formula unit
**Energy**: -58.8 eV per cell
**Excess energy over the best structure of this formula in the dataset**: 0.00 kcal/mol of atoms
**Theoretical density**: 8.828 g/cm3
**Calculated volume**: 247 Å³/cell

Q: Which of these has the highest energy?
A: number 1